[1]
A relaxed KTl6Au6 crystal. Source: Alexandria via LeMat-Bulk, functional PBE-GGA.

a b c (Å): 5.884 7.950 7.950
angles (deg): 84.95 68.28 68.28
Atoms (fractional coordinates):
Tl 0.000 0.351 0.649
Tl 0.657 0.343 0.343
Tl 0.682 0.818 0.818
Tl 0.000 0.649 0.351
Tl 0.343 0.657 0.657
Tl 0.318 0.182 0.182
Au 0.500 0.231 0.769
Au 0.500 0.000 0.500
Au 0.500 0.769 0.231
Au 0.000 0.500 0.000
Au 0.000 0.000 0.500
Au 0.500 0.500 0.000
K 0.000 0.000 0.000

Values from the calculation:
V (A^3/atom): 24.65
Total DFT energy (no corrections) (eV per atom): -2.75
Formation enthalpy at 0 K (eV per atom): -0.063



[2]
A relaxed KTl3Au2 crystal. Source: Alexandria via LeMat-Bulk, functional PBE-GGA.

a b c (Å): 4.654 9.438 9.437
angles (deg): 60.59 75.75 75.75
Atoms (fractional coordinates):
Au 0.500 0.854 0.146
Au 0.824 0.676 0.676
Au 0.500 0.146 0.854
Au 0.176 0.324 0.324
K 0.863 0.137 0.137
K 0.137 0.863 0.863
Tl 0.000 0.335 0.665
Tl 0.000 0.665 0.335
Tl 0.668 0.529 0.136
Tl 0.332 0.864 0.471
Tl 0.332 0.471 0.864
Tl 0.668 0.136 0.529

Values from the calculation:
V (A^3/atom): 28.84
Energy above the most stable polymorph in this dataset (meV per atom): 0
Total DFT energy (no corrections) (eV per atom): -2.59
Formation enthalpy at 0 K (eV per atom): -0.136



[3]
A relaxed K2Tl9Au3 crystal. Source: Alexandria via LeMat-Bulk, functional PBE-GGA.

a b c (Å): 9.287 9.287 12.336
angles (deg): 90.07 109.78 123.28
Atoms (fractional coordinates):
Tl 0.187 0.489 0.586
Tl 0.564 0.208 0.550
Tl 0.842 0.986 0.050
Tl 0.081 0.831 0.250
Tl 0.528 0.083 0.248
Tl 0.665 0.720 0.748
Tl 0.403 0.601 0.914
Tl 0.118 0.133 0.427
Tl 0.813 0.511 0.414
Tl 0.597 0.399 0.086
Tl 0.335 0.280 0.252
Tl 0.206 0.690 0.073
Tl 0.158 0.014 0.950
Tl 0.919 0.169 0.750
Tl 0.882 0.867 0.573
Tl 0.436 0.792 0.450
Tl 0.472 0.917 0.752
Tl 0.794 0.310 0.927
Au 0.837 0.659 0.972
Au 0.500 0.500 0.500
Au 0.813 0.135 0.472
Au 0.163 0.341 0.028
Au 0.500 0.000 0.000
Au 0.187 0.865 0.528
K 0.370 0.248 0.751
K 0.997 0.619 0.749
K 0.630 0.752 0.249
K 0.003 0.381 0.251

Values from the calculation:
V (A^3/atom): 29.04
Total DFT energy (no corrections) (eV per atom): -2.47
Formation enthalpy at 0 K (eV per atom): -0.086



[4]
A relaxed K4TlAu crystal. Source: Alexandria via LeMat-Bulk, functional PBE-GGA.

a b c (Å): 11.397 11.397 11.397
angles (deg): 60.00 60.00 60.00
Atoms (fractional coordinates):
K 0.550 0.550 0.950
K 0.802 0.802 0.198
K 0.198 0.802 0.198
K 0.550 0.950 0.550
K 0.397 0.397 0.397
K 0.550 0.950 0.950
K 0.397 0.397 0.808
K 0.802 0.198 0.802
K 0.802 0.198 0.198
K 0.397 0.808 0.397
K 0.950 0.550 0.550
K 0.198 0.802 0.802
K 0.950 0.550 0.950
K 0.808 0.397 0.397
K 0.198 0.198 0.802
K 0.950 0.950 0.550
Au 0.608 0.175 0.608
Au 0.175 0.608 0.608
Au 0.608 0.608 0.608
Au 0.608 0.608 0.175
Tl 0.175 0.175 0.475
Tl 0.475 0.175 0.175
Tl 0.175 0.175 0.175
Tl 0.175 0.475 0.175

Values from the calculation:
V (A^3/atom): 43.61
Total DFT energy (no corrections) (eV per atom): -1.83
Formation enthalpy at 0 K (eV per atom): -0.159



[5]
A relaxed K11TlAu2 crystal. Source: Alexandria via LeMat-Bulk, functional PBE-GGA.

a b c (Å): 12.786 13.328 13.328
angles (deg): 73.76 61.34 61.34
Atoms (fractional coordinates):
K 0.125 0.222 0.778
K 0.545 0.040 0.650
K 0.265 0.540 0.150
K 0.375 0.722 0.278
K 0.593 0.184 0.072
K 0.955 0.850 0.460
K 0.765 0.650 0.040
K 0.651 0.684 0.572
K 0.000 0.000 0.000
K 0.349 0.316 0.428
K 0.455 0.960 0.350
K 0.875 0.778 0.222
K 0.500 0.500 0.500
K 0.407 0.816 0.928
K 0.625 0.278 0.722
K 0.849 0.928 0.816
K 0.093 0.572 0.684
K 0.045 0.150 0.540
K 0.735 0.460 0.850
K 0.235 0.350 0.960
K 0.151 0.072 0.184
K 0.907 0.428 0.316
Au 0.143 0.823 0.177
Au 0.643 0.677 0.323
Au 0.857 0.177 0.823
Au 0.357 0.323 0.677
Tl 0.750 0.750 0.750
Tl 0.250 0.250 0.250

Values from the calculation:
V (A^3/atom): 62.33
Total DFT energy (no corrections) (eV per atom): -1.57
Formation enthalpy at 0 K (eV per atom): -0.068



[6]
A relaxed K6TlAu2 crystal. Source: Alexandria via LeMat-Bulk, functional PBE-GGA.

a b c (Å): 10.048 10.048 10.048
angles (deg): 103.24 113.88 111.47
Atoms (fractional coordinates):
Au 0.500 0.618 0.118
Au 0.500 0.382 0.882
Au 0.278 0.000 0.278
Au 0.722 0.000 0.722
K 0.808 0.744 0.552
K 0.808 0.256 0.064
K 0.192 0.256 0.448
K 0.192 0.744 0.936
K 0.326 0.980 0.655
K 0.674 0.329 0.655
K 0.112 0.291 0.821
K 0.470 0.291 0.179
K 0.674 0.020 0.345
K 0.326 0.671 0.345
K 0.888 0.709 0.179
K 0.530 0.709 0.821
Tl 0.000 0.000 0.000
Tl 0.000 0.500 0.500

Values from the calculation:
V (A^3/atom): 42.98
Total DFT energy (no corrections) (eV per atom): -1.91
Formation enthalpy at 0 K (eV per atom): -0.183